NbV2SnF: optimized geometry, PBE+U.

Results
total magnetic moment = 2.734 μB/f.u.
SG = P4/mmm, No. 123
DOS(E_F) = 4.55 states/eV per cell
raw total energy = -24.8 eV for the cell shown

a b c (Å): 5.3388 5.3388 4.2159
angles (deg): 90.00 90.00 90.00
Positions (direct):
Nb 0.0000 0.0000 0.0000
V 0.0000 0.5000 0.5000
V 0.5000 0.0000 0.5000
Sn 0.5000 0.5000 0.5000
F 0.5000 0.5000 0.0000